[1]
VASP calculation (GGA-PBE) on a relaxed structure of Tm3Al3Ga2Co.

Cell lengths 4.222, 6.833, 6.833 Å; angles 120.00, 90.00, 90.00 degrees
Sites, in units of the cell vectors:
Tm  0.000  0.594  0.594
Ga  0.500  0.333  0.667
Co  0.000  0.000  0.000
Al  0.500  0.229  0.229
Tm  0.000  0.406  0.000
Tm  0.000  0.000  0.406
Al  0.500  0.771  0.000
Al  0.500  0.000  0.771
Ga  0.500  0.667  0.333

Summary:
DFT total energy	-4.84	eV per atom
ΔE_f	-0.6398	eV per atom

---

[2]
VASP calculation (GGA-PBE) on a relaxed structure of TmAl2GaCo2.

Cell lengths 4.336, 4.336, 5.502 Å; angles 90.00, 90.00, 90.00 degrees
Sites, in units of the cell vectors:
Co  0.500  0.000  0.000
Al  0.500  0.500  0.252
Ga  0.000  0.000  0.000
Tm  0.000  0.000  0.500
Co  0.000  0.500  0.000
Al  0.500  0.500  0.748

Summary:
DFT total energy	-5.04	eV per atom
ΔE_f	-0.1695	eV per atom

---

[3]
VASP calculation (GGA-PBE) on a relaxed structure of Tm2Al2GaCo5.

Cell lengths 3.179, 9.572, 9.572 Å; angles 90.00, 90.00, 90.00 degrees
Sites, in units of the cell vectors:
Co  0.500  0.061  0.800
Ga  0.000  0.000  0.000
Tm  0.000  0.674  0.174
Co  0.500  0.000  0.500
Co  0.500  0.300  0.561
Co  0.500  0.939  0.200
Tm  0.000  0.326  0.826
Tm  0.000  0.174  0.326
Al  0.000  0.125  0.625
Co  0.500  0.561  0.700
Al  0.000  0.625  0.875
Ga  0.000  0.500  0.500
Co  0.500  0.439  0.300
Al  0.000  0.875  0.375
Al  0.000  0.375  0.125
Co  0.500  0.500  0.000
Co  0.500  0.800  0.939
Tm  0.000  0.826  0.674
Co  0.500  0.700  0.439
Co  0.500  0.200  0.061

Summary:
DFT total energy	-5.76	eV per atom
ΔE_f	-0.2602	eV per atom

---

[4]
VASP calculation (GGA-PBE) on a relaxed structure of Tm2AlGa2Co5.

Cell lengths 3.286, 9.440, 9.440 Å; angles 90.00, 90.00, 90.00 degrees
Sites, in units of the cell vectors:
Co  0.500  0.700  0.438
Co  0.500  0.500  0.000
Ga  0.000  0.375  0.125
Co  0.500  0.938  0.200
Tm  0.000  0.327  0.827
Co  0.500  0.300  0.562
Tm  0.000  0.827  0.673
Al  0.000  0.500  0.500
Co  0.500  0.562  0.700
Co  0.500  0.200  0.062
Co  0.500  0.062  0.800
Co  0.500  0.438  0.300
Tm  0.000  0.673  0.173
Ga  0.000  0.875  0.375
Tm  0.000  0.173  0.327
Co  0.500  0.800  0.938
Co  0.500  0.000  0.500
Ga  0.000  0.625  0.875
Ga  0.000  0.125  0.625
Al  0.000  0.000  0.000

Summary:
DFT total energy	-5.70	eV per atom
ΔE_f	-0.2763	eV per atom

---

[5]
VASP calculation (GGA-PBE) on a relaxed structure of Y2Al2GaCo5.

Cell lengths 3.194, 9.665, 9.665 Å; angles 90.00, 90.00, 90.00 degrees
Sites, in units of the cell vectors:
Ga  0.000  0.500  0.500
Ga  0.000  0.000  0.000
Co  0.500  0.000  0.500
Al  0.000  0.376  0.124
Co  0.500  0.439  0.300
Y  0.000  0.326  0.826
Co  0.500  0.200  0.061
Al  0.000  0.624  0.876
Al  0.000  0.876  0.376
Co  0.500  0.800  0.939
Co  0.500  0.300  0.561
Al  0.000  0.124  0.624
Co  0.500  0.561  0.700
Co  0.500  0.500  0.000
Y  0.000  0.674  0.174
Co  0.500  0.700  0.439
Y  0.000  0.174  0.326
Co  0.500  0.061  0.800
Y  0.000  0.826  0.674
Co  0.500  0.939  0.200

Summary:
DFT total energy	-6.11	eV per atom
ΔE_f	-0.2146	eV per atom

---

[6]
VASP calculation (GGA-PBE) on a relaxed structure of Y2AlGa2Co5.

Cell lengths 3.278, 9.564, 9.564 Å; angles 90.00, 90.00, 90.00 degrees
Sites, in units of the cell vectors:
Al  0.000  0.500  0.500
Ga  0.000  0.625  0.875
Y  0.000  0.826  0.674
Co  0.500  0.061  0.800
Ga  0.000  0.375  0.125
Co  0.500  0.200  0.061
Ga  0.000  0.125  0.625
Co  0.500  0.300  0.561
Co  0.500  0.500  0.000
Co  0.500  0.800  0.939
Y  0.000  0.326  0.826
Ga  0.000  0.875  0.375
Y  0.000  0.174  0.326
Co  0.500  0.439  0.300
Co  0.500  0.700  0.439
Y  0.000  0.674  0.174
Co  0.500  0.561  0.700
Al  0.000  0.000  0.000
Co  0.500  0.000  0.500
Co  0.500  0.939  0.200

Summary:
DFT total energy	-6.06	eV per atom
ΔE_f	-0.2320	eV per atom

---

[7]
VASP calculation (GGA-PBE) on a relaxed structure of AlZnGaCo2.

Cell lengths 4.346, 4.604, 4.346 Å; angles 90.00, 90.00, 90.00 degrees
Sites, in units of the cell vectors:
Al  0.000  0.000  0.000
Zn  0.500  0.500  0.500
Ga  0.000  0.500  0.000
Co  0.000  0.000  0.500
Co  0.500  0.000  0.000

Summary:
DFT total energy	-3.56	eV per atom
ΔE_f	0.8905	eV per atom

---

[8]
VASP calculation (GGA-PBE) on a relaxed structure of GdAl2Co.

Cell lengths 3.169, 3.169, 8.713 Å; angles 79.52, 79.52, 60.00 degrees
Sites, in units of the cell vectors:
Co  0.000  0.000  0.000
Al  0.730  0.730  0.810
Al  0.270  0.270  0.190
Gd  0.500  0.500  0.500

Summary:
DFT total energy	-7.15	eV per atom
ΔE_f	0.0137	eV per atom

---

[9]
VASP calculation (GGA-PBE) on a relaxed structure of Gd2AlCo.

Cell lengths 3.473, 3.473, 7.238 Å; angles 90.00, 90.00, 90.00 degrees
Sites, in units of the cell vectors:
Gd  0.000  0.000  0.228
Al  0.500  0.500  0.500
Gd  0.000  0.000  0.772
Co  0.500  0.500  0.000

Summary:
DFT total energy	-10.00	eV per atom
ΔE_f	-0.2517	eV per atom

---

[10]
VASP calculation (GGA-PBE) on a relaxed structure of GdAl2Co.

Cell lengths 3.052, 3.052, 7.361 Å; angles 90.00, 90.00, 90.00 degrees
Sites, in units of the cell vectors:
Gd  0.500  0.500  0.500
Al  0.000  0.000  0.181
Al  0.000  0.000  0.819
Co  0.500  0.500  0.000

Summary:
DFT total energy	-7.55	eV per atom
ΔE_f	-0.3808	eV per atom

---

[11]
VASP calculation (GGA-PBE) on a relaxed structure of LiGdAlCo.

Cell lengths 4.549, 4.549, 4.549 Å; angles 60.00, 60.00, 60.00 degrees
Sites, in units of the cell vectors:
Al  0.250  0.250  0.250
Li  0.000  0.000  0.000
Co  0.500  0.500  0.500
Gd  0.750  0.750  0.750

Summary:
DFT total energy	-6.90	eV per atom
ΔE_f	-0.1931	eV per atom

---

[12]
VASP calculation (GGA-PBE) on a relaxed structure of GdLuAlCo.

Cell lengths 4.920, 4.920, 4.920 Å; angles 60.00, 60.00, 60.00 degrees
Sites, in units of the cell vectors:
Lu  0.000  0.000  0.000
Gd  0.500  0.500  0.500
Co  0.250  0.250  0.250
Al  0.750  0.750  0.750

Summary:
DFT total energy	-7.58	eV per atom
ΔE_f	-0.2157	eV per atom

---

[13]
VASP calculation (GGA-PBE) on a relaxed structure of GdScAlCo.

Cell lengths 4.821, 4.821, 4.821 Å; angles 60.00, 60.00, 60.00 degrees
Sites, in units of the cell vectors:
Gd  0.000  0.000  0.000
Sc  0.500  0.500  0.500
Al  0.750  0.750  0.750
Co  0.250  0.250  0.250

Summary:
DFT total energy	-8.04	eV per atom
ΔE_f	-0.2248	eV per atom

---

[14]
VASP calculation (GGA-PBE) on a relaxed structure of TbGdAlCo.

Cell lengths 4.985, 4.985, 4.985 Å; angles 60.00, 60.00, 60.00 degrees
Sites, in units of the cell vectors:
Co  0.250  0.250  0.250
Gd  0.000  0.000  0.000
Al  0.750  0.750  0.750
Tb  0.500  0.500  0.500

Summary:
DFT total energy	-7.56	eV per atom
ΔE_f	-0.1713	eV per atom

---

[15]
VASP calculation (GGA-PBE) on a relaxed structure of GdYAlCo.

Cell lengths 4.984, 4.984, 4.984 Å; angles 60.00, 60.00, 60.00 degrees
Sites, in units of the cell vectors:
Y  0.750  0.750  0.750
Al  0.500  0.500  0.500
Co  0.000  0.000  0.000
Gd  0.250  0.250  0.250

Summary:
DFT total energy	-8.03	eV per atom
ΔE_f	-0.1831	eV per atom

---

[16]
VASP calculation (GGA-PBE) on a relaxed structure of AlCoGe3.

Cell lengths 4.823, 4.823, 4.823 Å; angles 90.00, 90.00, 90.00 degrees
Sites, in units of the cell vectors:
Ge  0.000  0.500  0.000
Co  0.500  0.500  0.500
Ge  0.000  0.000  0.500
Ge  0.500  0.000  0.000
Al  0.000  0.000  0.000

Summary:
DFT total energy	-3.88	eV per atom
ΔE_f	1.0569	eV per atom

---

[17]
VASP calculation (GGA-PBE) on a relaxed structure of AlCoGe2.

Cell lengths 4.043, 4.043, 8.537 Å; angles 76.30, 76.30, 90.00 degrees
Sites, in units of the cell vectors:
Co  0.000  0.000  0.000
Al  0.250  0.750  0.500
Ge  0.375  0.331  0.750
Co  0.750  0.250  0.500
Ge  0.081  0.625  0.250
Al  0.500  0.500  0.000
Ge  0.875  0.919  0.750
Ge  0.669  0.125  0.250

Summary:
DFT total energy	-4.87	eV per atom
ΔE_f	0.1465	eV per atom

---

[18]
VASP calculation (GGA-PBE) on a relaxed structure of Al2CoGe2.

Cell lengths 6.154, 6.154, 4.203 Å; angles 90.00, 90.00, 90.00 degrees
Sites, in units of the cell vectors:
Ge  0.852  0.648  0.000
Al  0.169  0.669  0.500
Al  0.669  0.831  0.500
Co  0.500  0.500  0.000
Al  0.831  0.331  0.500
Ge  0.648  0.148  0.000
Al  0.331  0.169  0.500
Ge  0.148  0.352  0.000
Ge  0.352  0.852  0.000
Co  0.000  0.000  0.000

Summary:
DFT total energy	-4.68	eV per atom
ΔE_f	0.0859	eV per atom

---

[19]
VASP calculation (GGA-PBE) on a relaxed structure of AlCo2Ge.

Cell lengths 3.105, 3.899, 3.899 Å; angles 90.00, 90.00, 90.00 degrees
Sites, in units of the cell vectors:
Al  0.500  0.500  0.500
Ge  0.500  0.000  0.000
Co  0.000  0.000  0.500
Co  0.000  0.500  0.000

Summary:
DFT total energy	-5.99	eV per atom
ΔE_f	-0.3445	eV per atom

---

[20]
VASP calculation (GGA-PBE) on a relaxed structure of Al4Co5Ge.

Cell lengths 2.868, 2.868, 14.284 Å; angles 90.00, 90.00, 90.00 degrees
Sites, in units of the cell vectors:
Co  0.500  0.500  0.699
Al  0.000  0.000  0.400
Co  0.500  0.500  0.098
Al  0.000  0.000  0.600
Al  0.000  0.000  0.202
Co  0.500  0.500  0.902
Co  0.500  0.500  0.500
Al  0.000  0.000  0.798
Ge  0.000  0.000  0.000
Co  0.500  0.500  0.301

Summary:
DFT total energy	-6.01	eV per atom
ΔE_f	-0.4943	eV per atom

---

[21]
VASP calculation (GGA-PBE) on a relaxed structure of Al3Co3Ge.

Cell lengths 4.906, 4.965, 4.906 Å; angles 109.71, 109.23, 109.71 degrees
Sites, in units of the cell vectors:
Al  0.000  0.004  0.500
Ge  0.000  0.503  0.000
Co  0.500  0.004  0.500
Al  0.500  0.504  0.500
Co  0.500  0.504  0.000
Al  0.500  0.004  0.000
Co  0.000  0.504  0.500

Summary:
DFT total energy	-5.71	eV per atom
ΔE_f	-0.4013	eV per atom

---

[22]
VASP calculation (GGA-PBE) on a relaxed structure of Al2Co2Ge.

Cell lengths 7.063, 7.063, 2.712 Å; angles 90.00, 90.00, 90.00 degrees
Sites, in units of the cell vectors:
Co  0.843  0.343  0.500
Al  0.364  0.864  0.000
Co  0.157  0.657  0.500
Al  0.136  0.364  0.000
Co  0.657  0.843  0.500
Al  0.636  0.136  0.000
Ge  0.500  0.500  0.000
Al  0.864  0.636  0.000
Co  0.343  0.157  0.500
Ge  0.000  0.000  0.000

Summary:
DFT total energy	-5.37	eV per atom
ΔE_f	-0.1107	eV per atom

---

[23]
VASP calculation (GGA-PBE) on a relaxed structure of Al2Co2Ge.

Cell lengths 3.987, 3.987, 4.937 Å; angles 90.00, 90.00, 60.00 degrees
Sites, in units of the cell vectors:
Co  0.833  0.333  0.142
Ge  0.500  0.000  0.000
Al  0.167  0.667  0.360
Co  0.167  0.667  0.858
Al  0.833  0.333  0.640

Summary:
DFT total energy	-5.68	eV per atom
ΔE_f	-0.4156	eV per atom

---

[24]
VASP calculation (GGA-PBE) on a relaxed structure of AlCo2Ge.

Cell lengths 6.364, 6.364, 5.248 Å; angles 52.68, 52.68, 90.00 degrees
Sites, in units of the cell vectors:
Co  0.375  0.357  0.750
Al  0.250  0.750  0.500
Co  0.875  0.893  0.750
Ge  0.750  0.250  0.500
Co  0.107  0.625  0.250
Al  0.500  0.500  0.000
Ge  0.000  0.000  0.000
Co  0.643  0.125  0.250

Summary:
DFT total energy	-5.45	eV per atom
ΔE_f	0.1940	eV per atom